[1]
CaTb4PmS8: relaxed, PBE-GGA.

```
data_CaTb4PmS8
_chemical_formula_sum 'Ca3 Tb12 Pm3 S24'
_cell_length_a 8.1362
_cell_length_b 8.1362
_cell_length_c 20.0741
_cell_angle_alpha 90.00
_cell_angle_beta 90.00
_cell_angle_gamma 120.00
_symmetry_space_group_name_H-M 'R 3 m'
_symmetry_Int_Tables_number 160
_symmetry_space_group_name_Hall 'R 3 -2"'
loop_
_atom_site_label
_atom_site_fract_x
_atom_site_fract_y
_atom_site_fract_z
_atom_site_occupancy
Ca1 0.0000 0.0000 0.0000 1
Tb1 0.0000 0.0000 0.7491 1
Tb2 0.0051 0.5025 0.8751 1
Pm1 0.0000 0.0000 0.3726 1
S1 0.0000 0.0000 0.1348 1
S2 0.0000 0.0000 0.6163 1
S3 0.0173 0.5086 0.1288 1
S4 0.1784 0.3568 0.9524 1
```

Computed properties:
The magnetization is 0.0 Bohr magnetons per cell. Its total energy is -0.2264 Ha/atom.



[2]
Nd4Rh2I: relaxed, PBE-GGA.

```
data_Nd4Rh2I
_chemical_formula_sum 'Nd12 Rh6 I3'
_cell_length_a 4.1911
_cell_length_b 4.1911
_cell_length_c 43.0151
_cell_angle_alpha 90.00
_cell_angle_beta 90.00
_cell_angle_gamma 120.00
_symmetry_space_group_name_H-M 'R -3 m'
_symmetry_Int_Tables_number 166
_symmetry_space_group_name_Hall '-R 3 2"'
loop_
_atom_site_label
_atom_site_fract_x
_atom_site_fract_y
_atom_site_fract_z
_atom_site_occupancy
Nd1 0.0000 0.0000 0.1290 1
Nd2 0.0000 0.0000 0.2737 1
Rh1 0.0000 0.0000 0.4281 1
I1 0.0000 0.0000 0.0000 1
```

Computed properties:
The magnetization is 0.0 Bohr magnetons per cell. Its total energy is -0.2120 Ha/atom.



[3]
InIr3N: relaxed, PBE-GGA.

```
data_InIr3N
_chemical_formula_sum 'In1 Ir3 N1'
_cell_length_a 4.170
_cell_length_b 4.170
_cell_length_c 4.170
_cell_angle_alpha 90.00
_cell_angle_beta 90.00
_cell_angle_gamma 90.00
_symmetry_space_group_name_H-M 'P m -3 m'
_symmetry_Int_Tables_number 221
_symmetry_space_group_name_Hall '-P 4 2 3'
loop_
_atom_site_label
_atom_site_fract_x
_atom_site_fract_y
_atom_site_fract_z
_atom_site_occupancy
In1 0.000 0.000 0.000 1
Ir1 0.000 0.500 0.500 1
N1 0.500 0.500 0.500 1
```

Computed properties:
The magnetization is 0.0 Bohr magnetons per cell. Its total energy is -0.2569 Ha/atom.